[1]
An optimized crystal structure of Tl3IrF7. Source: the Alexandria database, functional GGA-PBE.

Properties
- Raw formation energy: -1.72 eV/atom
- Volume: 20.82 Å³/atom
- Crystal system: monoclinic

Geometry as POSCAR:
```
Tl3IrF7
1.0
4.454 -4.212 0.000
4.454 4.212 0.000
-3.651 0.000 6.105
Tl Ir F
3 1 7
Cartesian
0.000 0.000 0.000
2.674 2.068 3.128
2.674 -2.068 3.128
4.428 0.000 0.205
-0.942 0.000 2.203
0.244 1.434 5.062
2.638 0.000 1.058
4.932 1.427 1.486
0.244 -1.434 5.062
2.560 0.000 5.471
4.932 -1.427 1.486
```


[2]
An optimized crystal structure of In2Se. Source: the Alexandria database, functional GGA-PBE.

Properties
- Raw formation energy: -0.12 eV/atom
- Volume: 33.28 Å³/atom
- Crystal system: cubic

Geometry as POSCAR:
```
In2Se
1.0
0.000 3.682 3.682
3.682 0.000 3.682
3.682 3.682 0.000
In Se
2 1
Cartesian
1.841 1.841 1.841
5.523 5.523 5.523
0.000 0.000 0.000
```


- Among the records above, which one has the lowest volume?
  Tl3IrF7